Density functional theory data (PBE-GGA) for a relaxed structure of V12ReGe7.

abc: 6.710 6.710 6.710
angles: 92.90 92.90 92.90
Positions (direct):
Re (0.000, 0.000, 0.000)
V (0.399, 0.844, 0.526)
V (0.601, 0.156, 0.474)
V (0.526, 0.399, 0.844)
V (0.278, 0.748, 0.871)
V (0.871, 0.278, 0.748)
V (0.129, 0.722, 0.252)
V (0.156, 0.474, 0.601)
V (0.722, 0.252, 0.129)
V (0.844, 0.526, 0.399)
V (0.748, 0.871, 0.278)
V (0.474, 0.601, 0.156)
V (0.252, 0.129, 0.722)
Ge (0.172, 0.386, 0.000)
Ge (0.500, 0.500, 0.500)
Ge (0.828, 0.614, 0.000)
Ge (0.000, 0.828, 0.614)
Ge (0.614, 0.000, 0.828)
Ge (0.000, 0.172, 0.386)
Ge (0.386, 0.000, 0.172)

Values from the calculation:
For the density of states at the Fermi level, the calculation gives 16.77 states/eV/cell. Its final energy is -7.6496 eV/atom. The value obtained for the formation energy from the elements is 0.060 eV/atom.



Density functional theory data (PBE-GGA) for a relaxed structure of VReGe3.

abc: 3.088 6.843 8.060
angles: 90.00 90.00 90.00
Positions (direct):
Ge (0.750, 0.179, 0.452)
Ge (0.750, 0.179, 0.048)
Ge (0.250, 0.821, 0.952)
Ge (0.250, 0.330, 0.750)
Ge (0.250, 0.821, 0.548)
Ge (0.750, 0.670, 0.250)
V (0.750, 0.639, 0.750)
V (0.250, 0.361, 0.250)
Re (0.750, 0.033, 0.750)
Re (0.250, 0.967, 0.250)

Values from the calculation:
For the density of states at the Fermi level, the calculation gives 7.35 states/eV/cell. Its final energy is -6.9256 eV/atom. The value obtained for the formation energy from the elements is 0.158 eV/atom. The value obtained for the energy above the lowest structure with this stoichiometry is 0.000 eV per atom.



Density functional theory data (PBE-GGA) for a relaxed structure of VRe3Ge.

abc: 4.491 4.491 4.491
angles: 90.00 90.00 90.00
Positions (direct):
Re (0.000, 0.500, 0.000)
Re (0.500, 0.000, 0.000)
Re (0.000, 0.000, 0.500)
V (0.500, 0.500, 0.500)
Ge (0.000, 0.000, 0.000)

Values from the calculation:
For the density of states at the Fermi level, the calculation gives 7.52 states/eV/cell. Its final energy is -8.4990 eV/atom. The value obtained for the formation energy from the elements is 1.717 eV/atom. The value obtained for the energy above the lowest structure with this stoichiometry is 0.000 eV per atom.



Density functional theory data (PBE-GGA) for a relaxed structure of VReGeW.

abc: 4.372 4.372 4.372
angles: 60.00 60.00 60.00
Positions (direct):
Re (0.750, 0.750, 0.750)
Ge (0.500, 0.500, 0.500)
W (0.000, 0.000, 0.000)
V (0.250, 0.250, 0.250)

Values from the calculation:
For the density of states at the Fermi level, the calculation gives 4.35 states/eV/cell. Its final energy is -9.6917 eV/atom. The value obtained for the formation energy from the elements is 0.093 eV/atom.



Density functional theory data (PBE-GGA) for a relaxed structure of ZrVReGe2.

abc: 4.596 4.584 4.596
angles: 90.00 90.00 90.00
Positions (direct):
V (0.000, 0.000, 0.000)
Zr (0.500, 0.500, 0.500)
Ge (0.500, 0.000, 0.000)
Ge (0.000, 0.000, 0.500)
Re (0.000, 0.500, 0.000)

Values from the calculation:
For the density of states at the Fermi level, the calculation gives 5.37 states/eV/cell. Its final energy is -7.1979 eV/atom. The value obtained for the formation energy from the elements is 0.672 eV/atom.



Density functional theory data (PBE-GGA) for a relaxed structure of ReGeW2.

abc: 5.766 5.766 7.015
angles: 65.74 65.74 90.00
Positions (direct):
Ge (0.500, 0.500, 0.000)
Ge (0.250, 0.750, 0.500)
Re (0.000, 0.000, 0.000)
Re (0.750, 0.250, 0.500)
W (0.375, 0.371, 0.750)
W (0.875, 0.879, 0.750)
W (0.629, 0.125, 0.250)
W (0.121, 0.625, 0.250)

Values from the calculation:
For the density of states at the Fermi level, the calculation gives 16.19 states/eV/cell. Its final energy is -9.0468 eV/atom. The value obtained for the formation energy from the elements is 1.696 eV/atom.



Density functional theory data (PBE-GGA) for a relaxed structure of Re2Ge2W.

abc: 7.095 7.095 3.130
angles: 90.00 90.00 90.00
Positions (direct):
Re (0.137, 0.363, 0.000)
Re (0.863, 0.637, 0.000)
Re (0.363, 0.863, 0.000)
Re (0.637, 0.137, 0.000)
W (0.500, 0.500, 0.000)
W (0.000, 0.000, 0.000)
Ge (0.163, 0.663, 0.500)
Ge (0.337, 0.163, 0.500)
Ge (0.837, 0.337, 0.500)
Ge (0.663, 0.837, 0.500)

Values from the calculation:
For the density of states at the Fermi level, the calculation gives 7.62 states/eV/cell. Its final energy is -8.8570 eV/atom. The value obtained for the formation energy from the elements is 0.560 eV/atom.



Density functional theory data (PBE-GGA) for a relaxed structure of Re2GeW.

abc: 2.857 2.857 9.255
angles: 81.12 81.12 60.00
Positions (direct):
Re (0.090, 0.090, 0.729)
Re (0.910, 0.910, 0.271)
Ge (0.500, 0.500, 0.500)
W (0.000, 0.000, 0.000)

Values from the calculation:
For the density of states at the Fermi level, the calculation gives 4.08 states/eV/cell. Its final energy is -9.8238 eV/atom. The value obtained for the formation energy from the elements is 0.793 eV/atom.



Density functional theory data (PBE-GGA) for a relaxed structure of ReGe2W.

abc: 4.397 4.397 4.397
angles: 60.00 60.00 60.00
Positions (direct):
W (0.000, 0.000, 0.000)
Re (0.500, 0.500, 0.500)
Ge (0.250, 0.250, 0.250)
Ge (0.750, 0.750, 0.750)

Values from the calculation:
For the density of states at the Fermi level, the calculation gives 5.50 states/eV/cell. Its final energy is -8.2890 eV/atom. The value obtained for the formation energy from the elements is 0.370 eV/atom. The value obtained for the energy above the lowest structure with this stoichiometry is 0.000 eV per atom.



Density functional theory data (PBE-GGA) for a relaxed structure of Re2GeW.

abc: 3.130 3.130 6.185
angles: 90.00 90.00 90.00
Positions (direct):
Ge (0.500, 0.500, 0.000)
Re (0.000, 0.000, 0.245)
Re (0.000, 0.000, 0.755)
W (0.500, 0.500, 0.500)

Values from the calculation:
For the density of states at the Fermi level, the calculation gives 2.94 states/eV/cell. Its final energy is -10.4555 eV/atom. The value obtained for the formation energy from the elements is 0.161 eV/atom.



Density functional theory data (PBE-GGA) for a relaxed structure of ReGe4W.

abc: 7.175 4.846 6.826
angles: 90.00 90.00 90.00
Positions (direct):
Ge (0.245, 0.869, 0.643)
Ge (0.755, 0.131, 0.643)
Ge (0.745, 0.131, 0.143)
Ge (0.742, 0.633, 0.861)
Ge (0.242, 0.367, 0.361)
Ge (0.255, 0.869, 0.143)
Ge (0.258, 0.367, 0.861)
Ge (0.758, 0.633, 0.361)
Re (0.000, 0.000, 0.888)
Re (0.500, 0.000, 0.388)
W (0.500, 0.500, 0.604)
W (0.000, 0.500, 0.104)

Values from the calculation:
For the density of states at the Fermi level, the calculation gives 6.03 states/eV/cell. Its final energy is -7.0085 eV/atom. The value obtained for the formation energy from the elements is 0.303 eV/atom.



Density functional theory data (PBE-GGA) for a relaxed structure of Re2GeW.

abc: 7.229 7.229 5.745
angles: 51.01 51.01 90.00
Positions (direct):
Ge (0.500, 0.500, 0.000)
Ge (0.250, 0.750, 0.500)
Re (0.875, 0.889, 0.750)
Re (0.111, 0.625, 0.250)
Re (0.375, 0.361, 0.750)
Re (0.639, 0.125, 0.250)
W (0.750, 0.250, 0.500)
W (0.000, 0.000, 0.000)

Values from the calculation:
For the density of states at the Fermi level, the calculation gives 9.13 states/eV/cell. Its final energy is -9.6051 eV/atom. The value obtained for the formation energy from the elements is 1.012 eV/atom.



Question: Which of these has the lowest final energy?
Answer: number 10